A geometry-optimized VH2O structure. Source: Alexandria via LeMat-Bulk, functional PBE with a Hubbard U.

Values from the calculation:
M_tot: 2.1 μB/f.u.
SG: Fm-3m
Relative energy among the computed polymorphs: 0.517 eV per atom

POSCAR file:
```
VH2O
1.0
4.759 0.000 0.000
0.000 4.759 0.000
0.000 0.000 4.759
V H O
4 8 4
Direct
0.000 0.000 0.000
0.000 0.500 0.500
0.500 0.000 0.500
0.500 0.500 0.000
0.250 0.250 0.250
0.250 0.250 0.750
0.250 0.750 0.250
0.250 0.750 0.750
0.750 0.250 0.250
0.750 0.250 0.750
0.750 0.750 0.250
0.750 0.750 0.750
0.000 0.000 0.500
0.000 0.500 0.000
0.500 0.000 0.000
0.500 0.500 0.500
```